Computed, not measured: crystalline LiTbMg2 at its relaxed geometry at the GGA-PBE level of DFT.

The structure in POSCAR format:
```
LiTbMg2
1.0
0.000 3.660 3.660
3.660 0.000 3.660
3.660 3.660 0.000
Li Tb Mg
1 1 2
direct
0.000 0.000 0.000
0.500 0.500 0.500
0.250 0.250 0.250
0.750 0.750 0.750
```

Output
raw total energy = -9.647 eV for the cell shown
energy above the lowest structure with this stoichiometry = 0.0659 eV per atom
symmetry = Fm-3m

Computed, not measured: crystalline InCoAg at its relaxed geometry at the GGA-PBE level of DFT.

The structure in POSCAR format:
```
InCoAg
1.0
-1.553 1.553 5.120
1.553 -1.553 5.120
1.553 1.553 -5.120
In Co Ag
1 1 1
direct
0.000 0.000 0.000
0.643 0.643 0.000
0.304 0.304 0.000
```

Output
raw total energy = -11.865 eV for the cell shown
energy above the lowest structure with this stoichiometry = 0.0000 eV per atom
symmetry = I4mm

Computed, not measured: crystalline TlGa2AgTe4 at its relaxed geometry at the GGA-PBE level of DFT.

The structure in POSCAR format:
```
TlGa2AgTe4
1.0
-3.461 4.262 4.521
3.461 -4.262 4.521
3.461 4.262 -4.521
Tl Ga Ag Te
1 2 1 4
direct
0.000 0.000 0.000
0.336 0.836 0.500
0.664 0.164 0.500
0.500 0.500 0.000
0.119 0.087 0.581
0.494 0.913 0.032
0.506 0.538 0.419
0.881 0.462 0.968
```

Output
raw total energy = -24.324 eV for the cell shown
ΔE_f (raw) = -1.4 kcal/mol of atoms
symmetry = I222